# 1
Below is a geometry-optimized TmHfCoOs structure, with properties calculated at the PBE level.

It has space group P4mm (No. 99), with a = 3.268 Å, b = 3.268 Å, c = 6.528 Å, α = 90.00°, β = 90.00° and γ = 90.00°. Symmetry generates all atoms from Tm at (0.000, 0.000, 0.000), Hf at (0.000, 0.000, 0.509), Co at (0.500, 0.500, 0.735) and Os at (0.500, 0.500, 0.274).

# 2
Below is a geometry-optimized K2Al2V structure, with properties calculated at the PBE level.

It has space group I4/mmm (No. 139), with a = 3.758 Å, b = 3.758 Å, c = 23.576 Å, α = 90.00°, β = 90.00° and γ = 90.00°. Symmetry generates all atoms from K at (0.000, 0.000, 0.113), Al at (0.000, 0.500, 0.250) and V at (0.000, 0.000, 0.500).

# 3
Below is a geometry-optimized Zr2TaMo structure, with properties calculated at the PBE level.

It has space group C2/m (No. 12), with a = 5.842 Å, b = 9.568 Å, c = 2.957 Å, α = 90.00°, β = 109.94° and γ = 90.00°. Symmetry generates all atoms from Zr at (0.250, 0.250, 0.000), Ta at (0.000, 0.000, 0.500) and Mo at (0.000, 0.500, 0.500).

# 4
Below is a geometry-optimized SnHPb2 structure, with properties calculated at the PBE level.

It has space group Fm-3m (No. 225), with a = 7.358 Å, b = 7.358 Å, c = 7.358 Å, α = 90.00°, β = 90.00° and γ = 90.00°. Symmetry generates all atoms from Sn at (0.000, 0.000, 0.000), H at (0.000, 0.000, 0.500) and Pb at (0.250, 0.250, 0.250).

# 5
Below is a geometry-optimized CaAlH4Br structure, with properties calculated at the PBE level.

It has space group C2/m (No. 12), with a = 9.912 Å, b = 6.885 Å, c = 6.823 Å, α = 90.00°, β = 103.85° and γ = 90.00°. Symmetry generates all atoms from Ca at (0.226, 0.000, 0.134), Al at (0.127, 0.500, 0.254), H at (0.041, 0.500, 0.792), H at (0.178, 0.323, 0.126), H at (0.197, 0.500, 0.494) and Br at (0.031, 0.000, 0.751).

# 6
Below is a geometry-optimized Tb2CoNi2 structure, with properties calculated at the PBE level.

It has space group C2/c (No. 15), with a = 8.816 Å, b = 5.288 Å, c = 7.709 Å, α = 90.00°, β = 103.21° and γ = 90.00°. Symmetry generates all atoms from Tb at (0.152, 0.122, 0.154), Co at (0.000, 0.353, 0.750) and Ni at (0.124, 0.379, 0.499).

no.,calculated density (Mg/m³),DFT total energy (eV/atom)
1,14.2,-8.617
2,1.8,-2.937
3,9.8,-9.811
4,8.9,-3.295
5,2.2,-3.508
6,9.4,-5.890